YAgPd14 (PBE, relaxed); DFT formation energy = -0.1938 eV per atom; ρ = 10.86 Mg/m³; SG = P4/mmm (123)
1.0
5.655 -0.011 0.000
0.013 5.655 0.000
0.000 0.000 8.066
Pd Y Ag
14 1 1
Direct
0.624 0.126 0.756
0.624 0.126 0.244
0.624 0.624 0.244
0.375 0.875 0.500
0.875 0.375 0.000
0.375 0.375 0.000
0.875 0.375 0.500
0.126 0.624 0.756
0.126 0.126 0.244
0.126 0.126 0.756
0.624 0.624 0.756
0.375 0.875 0.000
0.126 0.624 0.244
0.875 0.875 0.000
0.875 0.875 0.500
0.375 0.375 0.500